{
  "formula": "KCe2PuTe4",
  "functional": "GGA-PBE",
  "state": "optimized geometry",
  "raw_formation_energy_ev_per_atom": -1.237,
  "volume_a3_per_cell": 274,
  "lattice": [[7.969, 0.000, 0.000], [0.000, 4.549, 0.000], [-2.607, 0.000, 7.549]],
  "species": ["K", "Ce", "Ce", "Pu", "Te", "Te", "Te", "Te"],
  "frac_coords": [[0.000, 0.000, 0.000], [0.000, 0.500, 0.500], [0.500, 0.000, 0.500], [0.500, 0.500, 0.000], [0.258, 0.000, 0.748], [0.264, 0.500, 0.262], [0.736, 0.500, 0.738], [0.742, 0.000, 0.252]]
}

---

{
  "formula": "BCl",
  "functional": "GGA-PBE",
  "state": "optimized geometry",
  "raw_formation_energy_ev_per_atom": -0.361,
  "volume_a3_per_cell": 273,
  "lattice": [[-4.086, 4.086, 4.086], [4.086, -4.086, 4.086], [4.086, 4.086, -4.086]],
  "species": ["B", "B", "B", "B", "Cl", "Cl", "Cl", "Cl"],
  "frac_coords": [[0.000, 0.000, 0.854], [0.000, 0.854, 0.000], [0.146, 0.146, 0.146], [0.854, 0.000, 0.000], [0.000, 0.000, 0.610], [0.000, 0.610, 0.000], [0.390, 0.390, 0.390], [0.610, 0.000, 0.000]]
}

---

{
  "formula": "BaMoPd3",
  "functional": "GGA-PBE",
  "state": "optimized geometry",
  "ef_ev_per_atom": 0.31,
  "volume_a3_per_cell": 123,
  "lattice": [[4.977, 0.000, 0.000], [0.000, 4.977, 0.000], [0.000, 0.000, 4.977]],
  "species": ["Ba", "Mo", "Pd", "Pd", "Pd"],
  "frac_coords": [[0.000, 0.000, 0.000], [0.500, 0.500, 0.500], [0.000, 0.500, 0.500], [0.500, 0.000, 0.500], [0.500, 0.500, 0.000]]
}

---

{
  "formula": "LaHf2In2",
  "functional": "GGA-PBE",
  "state": "optimized geometry",
  "ef_ev_per_atom": -0.13,
  "volume_a3_per_cell": 134,
  "lattice": [[-2.213, 2.213, 6.827], [2.213, -2.213, 6.827], [2.213, 2.213, -6.827]],
  "species": ["La", "Hf", "Hf", "In", "In"],
  "frac_coords": [[0.000, 0.000, 0.000], [0.250, 0.750, 0.500], [0.750, 0.250, 0.500], [0.396, 0.396, 0.000], [0.604, 0.604, 0.000]]
}

---

{
  "formula": "Be2TcHg",
  "functional": "GGA-PBE",
  "state": "optimized geometry",
  "ef_ev_per_atom": 0.13,
  "volume_a3_per_cell": 54,
  "lattice": [[3.015, 0.000, 0.000], [0.000, 3.090, 0.000], [-0.087, 0.000, 5.752]],
  "species": ["Be", "Be", "Tc", "Hg"],
  "frac_coords": [[0.005, 0.000, 0.182], [0.995, 0.000, 0.818], [0.500, 0.500, 0.000], [0.500, 0.500, 0.500]]
}

---

{
  "formula": "Y2Ge2As",
  "functional": "GGA-PBE",
  "state": "optimized geometry",
  "ef_ev_per_atom": -0.73,
  "volume_a3_per_cell": 224,
  "lattice": [[7.336, 0.000, 0.000], [0.000, 7.336, 0.000], [0.000, 0.000, 4.154]],
  "species": ["Y", "Y", "Y", "Y", "Ge", "Ge", "Ge", "Ge", "As", "As"],
  "frac_coords": [[0.178, 0.322, 0.000], [0.322, 0.822, 0.000], [0.678, 0.178, 0.000], [0.822, 0.678, 0.000], [0.123, 0.623, 0.500], [0.377, 0.123, 0.500], [0.623, 0.877, 0.500], [0.877, 0.377, 0.500], [0.000, 0.000, 0.500], [0.500, 0.500, 0.500]]
}

---

{
  "formula": "RbUTl2Br6",
  "functional": "GGA-PBE",
  "state": "optimized geometry",
  "raw_formation_energy_ev_per_atom": -1.222,
  "volume_a3_per_cell": 429,
  "lattice": [[4.144, 2.393, 7.210], [-4.144, 2.393, 7.210], [0.000, -4.785, 7.210]],
  "species": ["Rb", "U", "Tl", "Tl", "Br", "Br", "Br", "Br", "Br", "Br"],
  "frac_coords": [[0.000, 0.000, 0.000], [0.491, 0.491, 0.491], [0.288, 0.288, 0.288], [0.798, 0.798, 0.798], [0.132, 0.679, 0.403], [0.245, 0.599, 0.840], [0.403, 0.132, 0.679], [0.599, 0.840, 0.245], [0.679, 0.403, 0.132], [0.840, 0.245, 0.599]]
}

---

{
  "formula": "Na2Cd2Pd3",
  "functional": "GGA-PBE",
  "state": "optimized geometry",
  "ef_ev_per_atom": -0.23,
  "volume_a3_per_cell": 145,
  "lattice": [[4.022, -2.324, 0.000], [4.022, 2.324, 0.000], [-2.668, 0.000, 7.734]],
  "species": ["Na", "Na", "Cd", "Cd", "Pd", "Pd", "Pd"],
  "frac_coords": [[0.130, 0.130, 0.391], [0.870, 0.870, 0.609], [0.385, 0.385, 0.156], [0.615, 0.615, 0.844], [0.000, 0.000, 0.000], [0.266, 0.266, 0.800], [0.734, 0.734, 0.200]]
}

---

{
  "formula": "Tm2Cd2Pb",
  "functional": "GGA-PBE",
  "state": "optimized geometry",
  "ef_ev_per_atom": -0.24,
  "volume_a3_per_cell": 263,
  "lattice": [[7.633, 0.000, 0.000], [0.000, 7.633, 0.000], [0.000, 0.000, 4.509]],
  "species": ["Tm", "Tm", "Tm", "Tm", "Cd", "Cd", "Cd", "Cd", "Pb", "Pb"],
  "frac_coords": [[0.168, 0.332, 0.000], [0.332, 0.832, 0.000], [0.668, 0.168, 0.000], [0.832, 0.668, 0.000], [0.129, 0.629, 0.500], [0.371, 0.129, 0.500], [0.629, 0.871, 0.500], [0.871, 0.371, 0.500], [0.000, 0.000, 0.500], [0.500, 0.500, 0.500]]
}

---

{
  "formula": "AgIrW2",
  "functional": "GGA-PBE",
  "state": "optimized geometry",
  "ef_ev_per_atom": 0.26,
  "volume_a3_per_cell": 64,
  "lattice": [[2.759, 0.000, 0.000], [0.000, 2.759, 0.000], [0.000, 0.000, 8.393]],
  "species": ["Ag", "Ir", "W", "W"],
  "frac_coords": [[0.000, 0.000, 0.000], [0.000, 0.000, 0.500], [0.500, 0.500, 0.266], [0.500, 0.500, 0.734]]
}

---

{
  "formula": "Pr3HgPd12",
  "functional": "GGA-PBE",
  "state": "optimized geometry",
  "ef_ev_per_atom": -0.57,
  "volume_a3_per_cell": 293,
  "lattice": [[4.192, 0.000, 0.000], [0.000, 4.192, 0.000], [0.000, 0.000, 16.671]],
  "species": ["Pr", "Pr", "Pr", "Hg", "Pd", "Pd", "Pd", "Pd", "Pd", "Pd", "Pd", "Pd", "Pd", "Pd", "Pd", "Pd"],
  "frac_coords": [[0.000, 0.000, 0.000], [0.000, 0.000, 0.256], [0.000, 0.000, 0.744], [0.000, 0.000, 0.500], [0.000, 0.500, 0.127], [0.000, 0.500, 0.382], [0.000, 0.500, 0.618], [0.000, 0.500, 0.873], [0.500, 0.000, 0.127], [0.500, 0.000, 0.382], [0.500, 0.000, 0.618], [0.500, 0.000, 0.873], [0.500, 0.500, 0.000], [0.500, 0.500, 0.254], [0.500, 0.500, 0.500], [0.500, 0.500, 0.746]]
}

---

{
  "formula": "ZrInTeN2",
  "functional": "GGA-PBE",
  "state": "optimized geometry",
  "raw_formation_energy_ev_per_atom": 0.249,
  "volume_a3_per_cell": 109,
  "lattice": [[4.246, 0.000, 0.000], [0.000, 4.246, 0.000], [0.000, 0.000, 6.028]],
  "species": ["Zr", "In", "Te", "N", "N"],
  "frac_coords": [[0.000, 0.000, 0.000], [0.500, 0.500, 0.500], [0.000, 0.000, 0.500], [0.000, 0.500, 0.000], [0.500, 0.000, 0.000]]
}

---

{
  "formula": "SmTlZn",
  "functional": "GGA-PBE",
  "state": "optimized geometry",
  "ef_ev_per_atom": -0.32,
  "volume_a3_per_cell": 147,
  "lattice": [[-2.364, 4.188, 3.722], [2.364, -4.188, 3.722], [2.364, 4.188, -3.722]],
  "species": ["Sm", "Sm", "Tl", "Tl", "Zn", "Zn"],
  "frac_coords": [[0.000, 0.000, 0.000], [0.499, 0.499, 0.000], [0.044, 0.724, 0.320], [0.404, 0.724, 0.680], [0.635, 0.290, 0.344], [0.946, 0.290, 0.656]]
}

---

{
  "formula": "SbPbAuI2",
  "functional": "GGA-PBE",
  "state": "optimized geometry",
  "raw_formation_energy_ev_per_atom": 0.261,
  "volume_a3_per_cell": 175,
  "lattice": [[5.602, 0.000, 0.000], [0.000, 5.602, 0.000], [0.000, 0.000, 5.573]],
  "species": ["Sb", "Pb", "Au", "I", "I"],
  "frac_coords": [[0.000, 0.000, 0.000], [0.500, 0.500, 0.000], [0.000, 0.000, 0.500], [0.000, 0.500, 0.500], [0.500, 0.000, 0.500]]
}

---

{
  "formula": "LaZrSeBr2",
  "functional": "GGA-PBE",
  "state": "optimized geometry",
  "raw_formation_energy_ev_per_atom": -0.873,
  "volume_a3_per_cell": 144,
  "lattice": [[5.235, 0.000, 0.000], [0.000, 5.235, 0.000], [0.000, 0.000, 5.250]],
  "species": ["La", "Zr", "Se", "Br", "Br"],
  "frac_coords": [[0.000, 0.000, 0.000], [0.500, 0.500, 0.500], [0.500, 0.500, 0.000], [0.000, 0.500, 0.500], [0.500, 0.000, 0.500]]
}

---

{
  "formula": "TcSbI2N",
  "functional": "GGA-PBE",
  "state": "optimized geometry",
  "raw_formation_energy_ev_per_atom": 1.543,
  "volume_a3_per_cell": 106,
  "lattice": [[4.718, 0.000, 0.000], [0.000, 4.718, 0.000], [0.000, 0.000, 4.750]],
  "species": ["Tc", "Sb", "I", "I", "N"],
  "frac_coords": [[0.000, 0.000, 0.000], [0.500, 0.500, 0.000], [0.000, 0.500, 0.500], [0.500, 0.000, 0.500], [0.500, 0.500, 0.500]]
}

---

{
  "formula": "MgH2",
  "functional": "GGA-PBE",
  "state": "optimized geometry",
  "e_tot_ev_per_atom": -2.888,
  "volume_a3_per_cell": 98,
  "lattice": [[5.263, 0.000, 0.000], [0.000, 3.107, 0.000], [0.000, 0.000, 5.978]],
  "species": ["Mg", "Mg", "Mg", "Mg", "H", "H", "H", "H", "H", "H", "H", "H"],
  "frac_coords": [[0.248, 0.250, 0.102], [0.252, 0.750, 0.602], [0.748, 0.250, 0.398], [0.752, 0.750, 0.898], [0.021, 0.750, 0.334], [0.138, 0.750, 0.924], [0.362, 0.250, 0.424], [0.479, 0.250, 0.834], [0.521, 0.750, 0.166], [0.638, 0.750, 0.576], [0.862, 0.250, 0.076], [0.979, 0.250, 0.666]]
}

---

{
  "formula": "Ba2CdInS5",
  "functional": "GGA-PBE",
  "state": "optimized geometry",
  "raw_formation_energy_ev_per_atom": -1.135,
  "volume_a3_per_cell": 500,
  "lattice": [[2.104, -9.638, 0.000], [2.104, 9.638, 0.000], [0.000, 0.000, 12.331]],
  "species": ["Ba", "Ba", "Ba", "Ba", "Cd", "Cd", "In", "In", "S", "S", "S", "S", "S", "S", "S", "S", "S", "S"],
  "frac_coords": [[0.116, 0.884, 0.500], [0.117, 0.883, 0.877], [0.883, 0.117, 0.377], [0.884, 0.116, 0.000], [0.234, 0.766, 0.219], [0.766, 0.234, 0.719], [0.440, 0.560, 0.658], [0.560, 0.440, 0.158], [0.039, 0.961, 0.262], [0.288, 0.712, 0.856], [0.313, 0.687, 0.600], [0.364, 0.636, 0.191], [0.491, 0.509, 0.476], [0.509, 0.491, 0.976], [0.636, 0.364, 0.691], [0.687, 0.313, 0.100], [0.712, 0.288, 0.356], [0.961, 0.039, 0.762]]
}

---

{
  "formula": "TaFe2Hg",
  "functional": "GGA-PBE",
  "state": "optimized geometry",
  "ef_ev_per_atom": 0.38,
  "volume_a3_per_cell": 65,
  "lattice": [[1.494, 0.863, 8.397], [-1.494, 0.863, 8.397], [0.000, -1.726, 8.397]],
  "species": ["Ta", "Fe", "Fe", "Hg"],
  "frac_coords": [[0.000, 0.000, 0.000], [0.256, 0.256, 0.256], [0.744, 0.744, 0.744], [0.500, 0.500, 0.500]]
}

---

{
  "formula": "AlSiNi3",
  "functional": "GGA-PBE",
  "state": "optimized geometry",
  "raw_formation_energy_ev_per_atom": -0.383,
  "volume_a3_per_cell": 244,
  "lattice": [[6.191, 0.000, 0.000], [0.000, 6.792, 0.000], [0.000, 0.000, 5.806]],
  "species": ["Al", "Al", "Al", "Al", "Si", "Si", "Si", "Si", "Ni", "Ni", "Ni", "Ni", "Ni", "Ni", "Ni", "Ni", "Ni", "Ni", "Ni", "Ni"],
  "frac_coords": [[0.156, 0.250, 0.090], [0.344, 0.750, 0.590], [0.656, 0.250, 0.410], [0.844, 0.750, 0.910], [0.000, 0.000, 0.500], [0.000, 0.500, 0.500], [0.500, 0.000, 0.000], [0.500, 0.500, 0.000], [0.109, 0.750, 0.234], [0.158, 0.547, 0.858], [0.158, 0.953, 0.858], [0.342, 0.047, 0.358], [0.342, 0.453, 0.358], [0.391, 0.250, 0.734], [0.609, 0.750, 0.266], [0.658, 0.547, 0.642], [0.658, 0.953, 0.642], [0.842, 0.047, 0.142], [0.842, 0.453, 0.142], [0.891, 0.250, 0.766]]
}